This record from Alexandria describes an optimized crystal structure of IrPt2Se. The functional is PBE-GGA.

Results
- M_tot (μB/atom) = 0.000
- DFT total energy (eV for the cell shown) = -23.573
- E_form (uncorrected) (eV/atom) = 0.21

a = 8.833 Å, b = 8.833 Å, c = 8.833 Å
α = 19.03°, β = 19.03°, γ = 19.03°
Fractional positions:
Ir: 0.000 0.000 0.000
Pt: 0.507 0.507 0.507
Pt: 0.752 0.752 0.752
Se: 0.260 0.260 0.260